1.
Below is a relaxed TlSn2HgH crystal, with properties calculated at the GGA-PBE level.

Computed properties:
Offset from the most stable computed form (meV/atom): 5
Space-group type: P4/mmm, No. 123

CIF file:
```
data_TlSn2HgH
_chemical_formula_sum 'Tl1 Sn2 Hg1 H1'
_cell_length_a 4.657
_cell_length_b 4.657
_cell_length_c 5.376
_cell_angle_alpha 90.00
_cell_angle_beta 90.00
_cell_angle_gamma 90.00
_symmetry_space_group_name_H-M 'P 1'
_symmetry_Int_Tables_number 1
_symmetry_space_group_name_Hall 'P 1'
loop_
_atom_site_label
_atom_site_fract_x
_atom_site_fract_y
_atom_site_fract_z
H1 0.000 0.000 0.000
Tl1 0.000 0.000 0.500
Sn1 0.000 0.500 0.000
Sn2 0.500 0.000 0.000
Hg1 0.500 0.500 0.500
```



2.
Below is a relaxed SnHg2HW crystal, with properties calculated at the GGA-PBE level.

Computed properties:
Total DFT energy (no corrections) (eV/cell): -16.018
Space-group type: P4/mmm, No. 123

CIF file:
```
data_SnHg2HW
_chemical_formula_sum 'Sn1 Hg2 H1 W1'
_cell_length_a 4.277
_cell_length_b 4.736
_cell_length_c 4.277
_cell_angle_alpha 90.00
_cell_angle_beta 90.00
_cell_angle_gamma 90.00
_symmetry_space_group_name_H-M 'P 1'
_symmetry_Int_Tables_number 1
_symmetry_space_group_name_Hall 'P 1'
loop_
_atom_site_label
_atom_site_fract_x
_atom_site_fract_y
_atom_site_fract_z
H1 0.000 0.000 0.000
Sn1 0.000 0.500 0.000
W1 0.500 0.500 0.500
Hg1 0.500 0.000 0.000
Hg2 0.000 0.000 0.500
```



3.
Below is a relaxed YSnHg2H crystal, with properties calculated at the GGA-PBE level.

Computed properties:
Total DFT energy (no corrections) (eV/cell): -15.547
Space-group type: P4/mmm, No. 123

CIF file:
```
data_YSnHg2H
_chemical_formula_sum 'Y1 Sn1 Hg2 H1'
_cell_length_a 4.768
_cell_length_b 4.768
_cell_length_c 4.514
_cell_angle_alpha 90.00
_cell_angle_beta 90.00
_cell_angle_gamma 90.00
_symmetry_space_group_name_H-M 'P 1'
_symmetry_Int_Tables_number 1
_symmetry_space_group_name_Hall 'P 1'
loop_
_atom_site_label
_atom_site_fract_x
_atom_site_fract_y
_atom_site_fract_z
Hg1 0.000 0.500 0.000
Hg2 0.500 0.000 0.000
Sn1 0.500 0.500 0.500
Y1 0.000 0.000 0.500
H1 0.000 0.000 0.000
```



4.
Below is a relaxed SrHg3H crystal, with properties calculated at the GGA-PBE level.

Computed properties:
Total DFT energy (no corrections) (eV/cell): -6.001
Space-group type: Pm-3m, No. 221

CIF file:
```
data_SrHg3H
_chemical_formula_sum 'Sr1 Hg3 H1'
_cell_length_a 4.948
_cell_length_b 4.948
_cell_length_c 4.948
_cell_angle_alpha 90.00
_cell_angle_beta 90.00
_cell_angle_gamma 90.00
_symmetry_space_group_name_H-M 'P 1'
_symmetry_Int_Tables_number 1
_symmetry_space_group_name_Hall 'P 1'
loop_
_atom_site_label
_atom_site_fract_x
_atom_site_fract_y
_atom_site_fract_z
Hg1 0.000 0.000 0.500
Hg2 0.500 0.000 0.000
Hg3 0.000 0.500 0.000
H1 0.000 0.000 0.000
Sr1 0.500 0.500 0.500
```



5.
Below is a relaxed SrHgH crystal, with properties calculated at the GGA-PBE level.

Computed properties:
Offset from the most stable computed form (meV/atom): 0
Space-group type: Pbca, No. 61

CIF file:
```
data_SrHgH
_chemical_formula_sum 'Sr16 Hg16 H16'
_cell_length_a 5.219
_cell_length_b 11.879
_cell_length_c 17.397
_cell_angle_alpha 90.00
_cell_angle_beta 90.00
_cell_angle_gamma 90.00
_symmetry_space_group_name_H-M 'P 1'
_symmetry_Int_Tables_number 1
_symmetry_space_group_name_Hall 'P 1'
loop_
_atom_site_label
_atom_site_fract_x
_atom_site_fract_y
_atom_site_fract_z
Sr1 0.748 0.381 0.415
Sr2 0.752 0.881 0.585
Sr3 0.252 0.373 0.751
Sr4 0.248 0.873 0.249
Sr5 0.752 0.627 0.749
Sr6 0.252 0.873 0.749
Sr7 0.748 0.627 0.249
Sr8 0.752 0.127 0.751
Sr9 0.248 0.373 0.251
Sr10 0.252 0.619 0.585
Sr11 0.752 0.381 0.915
Sr12 0.748 0.127 0.251
Sr13 0.248 0.119 0.415
Sr14 0.252 0.119 0.915
Sr15 0.248 0.619 0.085
Sr16 0.748 0.881 0.085
Hg1 0.250 0.330 0.548
Hg2 0.751 0.927 0.889
Hg3 0.749 0.927 0.389
Hg4 0.750 0.670 0.452
Hg5 0.751 0.427 0.611
Hg6 0.249 0.073 0.111
Hg7 0.251 0.073 0.611
Hg8 0.750 0.170 0.548
Hg9 0.250 0.330 0.048
Hg10 0.750 0.170 0.048
Hg11 0.249 0.573 0.389
Hg12 0.250 0.830 0.952
Hg13 0.250 0.830 0.452
Hg14 0.749 0.427 0.111
Hg15 0.750 0.670 0.952
Hg16 0.251 0.573 0.889
H1 0.747 0.424 0.274
H2 0.747 0.924 0.226
H3 0.753 0.424 0.774
H4 0.247 0.576 0.226
H5 0.002 0.250 0.836
H6 0.502 0.750 0.664
H7 0.253 0.076 0.774
H8 0.002 0.750 0.664
H9 0.247 0.076 0.274
H10 0.498 0.750 0.164
H11 0.502 0.250 0.836
H12 0.998 0.750 0.164
H13 0.753 0.924 0.726
H14 0.998 0.250 0.336
H15 0.498 0.250 0.336
H16 0.253 0.576 0.726
```



6.
Below is a relaxed SrHg2H crystal, with properties calculated at the GGA-PBE level.

Computed properties:
Offset from the most stable computed form (meV/atom): 0
Space-group type: I-42d, No. 122

CIF file:
```
data_SrHg2H
_chemical_formula_sum 'Sr2 Hg4 H2'
_cell_length_a 9.522
_cell_length_b 9.522
_cell_length_c 7.126
_cell_angle_alpha 48.08
_cell_angle_beta 48.08
_cell_angle_gamma 90.00
_symmetry_space_group_name_H-M 'P 1'
_symmetry_Int_Tables_number 1
_symmetry_space_group_name_Hall 'P 1'
loop_
_atom_site_label
_atom_site_fract_x
_atom_site_fract_y
_atom_site_fract_z
Hg1 0.375 0.476 0.750
Hg2 0.226 0.625 0.250
Hg3 0.875 0.774 0.750
Hg4 0.524 0.125 0.250
H1 0.500 0.500 0.000
H2 0.250 0.750 0.500
Sr1 0.000 0.000 0.000
Sr2 0.750 0.250 0.500
```



7.
Below is a relaxed Sr2HgH2 crystal, with properties calculated at the GGA-PBE level.

Computed properties:
Offset from the most stable computed form (meV/atom): 0
Space-group type: I4/mmm, No. 139

CIF file:
```
data_Sr2HgH2
_chemical_formula_sum 'Sr2 Hg1 H2'
_cell_length_a 4.068
_cell_length_b 4.068
_cell_length_c 7.444
_cell_angle_alpha 105.86
_cell_angle_beta 105.86
_cell_angle_gamma 90.00
_symmetry_space_group_name_H-M 'P 1'
_symmetry_Int_Tables_number 1
_symmetry_space_group_name_Hall 'P 1'
loop_
_atom_site_label
_atom_site_fract_x
_atom_site_fract_y
_atom_site_fract_z
H1 0.250 0.750 0.500
H2 0.750 0.250 0.500
Sr1 0.650 0.650 0.301
Sr2 0.350 0.350 0.699
Hg1 0.000 0.000 0.000
```



8.
Below is a relaxed SrHgH3 crystal, with properties calculated at the GGA-PBE level.

Computed properties:
Offset from the most stable computed form (meV/atom): 344
Space-group type: Pm-3m, No. 221

CIF file:
```
data_SrHgH3
_chemical_formula_sum 'Sr1 Hg1 H3'
_cell_length_a 4.509
_cell_length_b 4.509
_cell_length_c 4.509
_cell_angle_alpha 90.00
_cell_angle_beta 90.00
_cell_angle_gamma 90.00
_symmetry_space_group_name_H-M 'P 1'
_symmetry_Int_Tables_number 1
_symmetry_space_group_name_Hall 'P 1'
loop_
_atom_site_label
_atom_site_fract_x
_atom_site_fract_y
_atom_site_fract_z
H1 0.000 0.500 0.000
H2 0.000 0.000 0.500
H3 0.500 0.000 0.000
Hg1 0.500 0.500 0.500
Sr1 0.000 0.000 0.000
```



9.
Below is a relaxed Sr12Hg3H5 crystal, with properties calculated at the GGA-PBE level.

Computed properties:
Total DFT energy (no corrections) (eV/cell): -177.780
Space-group type: Ia-3d, No. 230

CIF file:
```
data_Sr12Hg3H5
_chemical_formula_sum 'Sr48 Hg12 H20'
_cell_length_a 14.984
_cell_length_b 14.984
_cell_length_c 14.984
_cell_angle_alpha 109.47
_cell_angle_beta 109.47
_cell_angle_gamma 109.47
_symmetry_space_group_name_H-M 'P 1'
_symmetry_Int_Tables_number 1
_symmetry_space_group_name_Hall 'P 1'
loop_
_atom_site_label
_atom_site_fract_x
_atom_site_fract_y
_atom_site_fract_z
Sr1 0.481 0.791 0.882
Sr2 0.118 0.709 0.519
Sr3 0.599 0.981 0.690
Sr4 0.190 0.099 0.981
Sr5 0.382 0.981 0.791
Sr6 0.618 0.599 0.909
Sr7 0.209 0.690 0.091
Sr8 0.981 0.599 0.190
Sr9 0.481 0.690 0.099
Sr10 0.618 0.019 0.209
Sr11 0.519 0.310 0.901
Sr12 0.599 0.618 0.409
Sr13 0.591 0.709 0.690
Sr14 0.019 0.401 0.810
Sr15 0.099 0.190 0.481
Sr16 0.409 0.291 0.310
Sr17 0.401 0.019 0.310
Sr18 0.882 0.291 0.481
Sr19 0.810 0.909 0.291
Sr20 0.810 0.901 0.019
Sr21 0.291 0.882 0.981
Sr22 0.981 0.382 0.291
Sr23 0.909 0.810 0.791
Sr24 0.591 0.882 0.401
Sr25 0.519 0.209 0.118
Sr26 0.909 0.099 0.618
Sr27 0.901 0.810 0.519
Sr28 0.291 0.409 0.810
Sr29 0.709 0.591 0.190
Sr30 0.019 0.618 0.709
Sr31 0.401 0.382 0.591
Sr32 0.882 0.591 0.901
Sr33 0.091 0.901 0.382
Sr34 0.709 0.118 0.019
Sr35 0.310 0.519 0.401
Sr36 0.310 0.791 0.409
Sr37 0.690 0.481 0.599
Sr38 0.901 0.091 0.882
Sr39 0.190 0.091 0.709
Sr40 0.091 0.190 0.209
Sr41 0.209 0.519 0.618
Sr42 0.118 0.409 0.099
Sr43 0.099 0.909 0.118
Sr44 0.791 0.310 0.909
Sr45 0.690 0.209 0.591
Sr46 0.791 0.481 0.382
Sr47 0.409 0.118 0.599
Sr48 0.382 0.401 0.091
Hg1 0.625 0.375 0.750
Hg2 0.875 0.750 0.125
Hg3 0.625 0.250 0.375
Hg4 0.750 0.375 0.125
Hg5 0.875 0.125 0.250
Hg6 0.375 0.750 0.625
Hg7 0.375 0.625 0.250
Hg8 0.125 0.250 0.875
Hg9 0.125 0.875 0.750
Hg10 0.750 0.875 0.625
Hg11 0.250 0.625 0.875
Hg12 0.250 0.125 0.375
H1 0.500 0.500 0.000
H2 0.125 0.375 0.250
H3 0.750 0.625 0.375
H4 0.375 0.125 0.750
H5 0.750 0.125 0.875
H6 0.500 0.000 0.500
H7 0.875 0.250 0.625
H8 0.875 0.625 0.750
H9 0.500 0.500 0.500
H10 0.000 0.000 0.000
H11 0.625 0.875 0.250
H12 0.000 0.500 0.500
H13 0.375 0.250 0.125
H14 0.250 0.375 0.625
H15 0.250 0.875 0.125
H16 0.000 0.500 0.000
H17 0.000 0.000 0.500
H18 0.625 0.750 0.875
H19 0.500 0.000 0.000
H20 0.125 0.750 0.375
```



10.
Below is a relaxed SrHg2H crystal, with properties calculated at the GGA-PBE level.

Computed properties:
Offset from the most stable computed form (meV/atom): 259
Space-group type: Fm-3m, No. 225

CIF file:
```
data_SrHg2H
_chemical_formula_sum 'Sr1 Hg2 H1'
_cell_length_a 5.296
_cell_length_b 5.296
_cell_length_c 5.296
_cell_angle_alpha 60.00
_cell_angle_beta 60.00
_cell_angle_gamma 60.00
_symmetry_space_group_name_H-M 'P 1'
_symmetry_Int_Tables_number 1
_symmetry_space_group_name_Hall 'P 1'
loop_
_atom_site_label
_atom_site_fract_x
_atom_site_fract_y
_atom_site_fract_z
H1 0.000 0.000 0.000
Hg1 0.750 0.750 0.750
Hg2 0.250 0.250 0.250
Sr1 0.500 0.500 0.500
```



11.
Below is a relaxed Sr12Hg5H2 crystal, with properties calculated at the GGA-PBE level.

Computed properties:
Total DFT energy (no corrections) (eV/cell): -33.922
Space-group type: C2/m, No. 12

CIF file:
```
data_Sr12Hg5H2
_chemical_formula_sum 'Sr12 Hg5 H2'
_cell_length_a 9.433
_cell_length_b 9.486
_cell_length_c 10.103
_cell_angle_alpha 106.05
_cell_angle_beta 90.00
_cell_angle_gamma 119.81
_symmetry_space_group_name_H-M 'P 1'
_symmetry_Int_Tables_number 1
_symmetry_space_group_name_Hall 'P 1'
loop_
_atom_site_label
_atom_site_fract_x
_atom_site_fract_y
_atom_site_fract_z
H1 0.841 0.000 0.000
H2 0.159 0.000 0.000
Hg1 0.000 0.000 0.500
Hg2 0.305 0.610 0.641
Hg3 0.275 0.551 0.154
Hg4 0.695 0.390 0.359
Hg5 0.725 0.449 0.846
Sr1 0.143 0.713 0.942
Sr2 0.857 0.287 0.058
Sr3 0.400 0.308 0.584
Sr4 0.908 0.308 0.584
Sr5 0.570 0.713 0.942
Sr6 0.972 0.945 0.795
Sr7 0.092 0.692 0.416
Sr8 0.506 0.012 0.723
Sr9 0.028 0.055 0.205
Sr10 0.494 0.988 0.277
Sr11 0.430 0.287 0.058
Sr12 0.600 0.692 0.416
```



12.
Below is a relaxed Sr4HgH crystal, with properties calculated at the GGA-PBE level.

Computed properties:
Offset from the most stable computed form (meV/atom): 81
Space-group type: Cmmm, No. 65

CIF file:
```
data_Sr4HgH
_chemical_formula_sum 'Sr4 Hg1 H1'
_cell_length_a 4.797
_cell_length_b 7.059
_cell_length_c 7.059
_cell_angle_alpha 83.48
_cell_angle_beta 90.00
_cell_angle_gamma 90.00
_symmetry_space_group_name_H-M 'P 1'
_symmetry_Int_Tables_number 1
_symmetry_space_group_name_Hall 'P 1'
loop_
_atom_site_label
_atom_site_fract_x
_atom_site_fract_y
_atom_site_fract_z
H1 0.500 0.000 0.000
Sr1 0.000 0.801 0.801
Sr2 0.000 0.199 0.199
Sr3 0.500 0.730 0.270
Sr4 0.500 0.270 0.730
Hg1 0.000 0.500 0.500
```